A relaxed structure of KBaNaF4, computed with PBE.

Cell lengths 5.973, 13.648, 6.081 Å; angles 90.00, 90.00, 90.00 degrees
Space group Cmcm (No. 63)
Unique sites:
K 0.000 0.107 0.250
Ba 0.000 0.379 0.250
Na 0.000 0.250 0.750
F 0.000 0.080 0.750
F 0.000 0.431 0.750
F 0.250 0.250 0.000

As for the calculated volume: 496 Å³/cell. As for the crystal system: orthorhombic. As for the electronic total energy: -4.832 eV per atom. The calculation puts the size of the total moment at 0.0146 μB/atom. The value obtained for the formation energy without anion corrections is -3.143 eV per atom.